VASP calculation (PBE) on a relaxed PrIn3Ni crystal.

Results
Raw total energy, eV/atom: -3.996
Calculated formation energy, eV/atom: -0.240

Cell lengths 4.962, 4.962, 4.962 Å; angles 90.00, 90.00, 90.00 degrees
Fractional coordinates of all 5 atoms:
1 Pr 0.000 0.000 0.000
2 In 0.000 0.500 0.500
3 In 0.500 0.000 0.500
4 In 0.500 0.500 0.000
5 Ni 0.500 0.500 0.500

VASP calculation (PBE) on a relaxed LaCuS2Cl crystal.

Results
Formation energy without anion corrections, eV/atom: -0.24
Raw total energy, eV/atom: -4.066
Relative energy among the computed polymorphs, eV/f.u.: 4.26

Cell lengths 5.222, 5.222, 4.146 Å; angles 90.00, 90.00, 90.00 degrees
Fractional coordinates of all 5 atoms:
1 La 0.000 0.000 0.000
2 Cu 0.500 0.500 0.000
3 S 0.000 0.500 0.500
4 S 0.500 0.000 0.500
5 Cl 0.500 0.500 0.500

VASP calculation (PBE) on a relaxed Sr2Li17Cd3 crystal.

Results
Raw total energy, eV/atom: -1.756
Calculated formation energy, eV/atom: 0.000

Cell lengths 8.164, 8.164, 8.164 Å; angles 84.95, 84.95, 84.95 degrees
Fractional coordinates of all 22 atoms:
1 Sr 0.170 0.170 0.170
2 Sr 0.830 0.830 0.830
3 Li 0.000 0.500 0.500
4 Li 0.170 0.170 0.696
5 Li 0.170 0.696 0.170
6 Li 0.243 0.500 0.757
7 Li 0.243 0.757 0.500
8 Li 0.304 0.830 0.830
9 Li 0.406 0.406 0.406
10 Li 0.500 0.000 0.500
11 Li 0.500 0.243 0.757
12 Li 0.500 0.500 0.000
13 Li 0.500 0.757 0.243
14 Li 0.594 0.594 0.594
15 Li 0.696 0.170 0.170
16 Li 0.757 0.243 0.500
17 Li 0.757 0.500 0.243
18 Li 0.830 0.304 0.830
19 Li 0.830 0.830 0.304
20 Cd 0.000 0.000 0.500
21 Cd 0.000 0.500 0.000
22 Cd 0.500 0.000 0.000

VASP calculation (PBE) on a relaxed CsCdSO4 crystal.

Results
Formation energy without anion corrections, eV/atom: -1.43
Raw total energy, eV/atom: -5.104

Cell lengths 5.687, 5.364, 9.166 Å; angles 90.00, 92.48, 90.00 degrees
Fractional coordinates of all 14 atoms:
1 Cs 0.229 0.250 0.383
2 Cs 0.771 0.750 0.617
3 Cd 0.149 0.750 0.962
4 Cd 0.851 0.250 0.038
5 S 0.376 0.250 0.778
6 S 0.624 0.750 0.222
7 O 0.227 0.022 0.753
8 O 0.227 0.478 0.753
9 O 0.433 0.750 0.328
10 O 0.474 0.250 0.932
11 O 0.526 0.750 0.068
12 O 0.567 0.250 0.672
13 O 0.773 0.522 0.247
14 O 0.773 0.978 0.247

VASP calculation (PBE) on a relaxed LaSi2Pt crystal.

Results
Formation energy without anion corrections, eV/atom: -0.46
Raw total energy, eV/atom: -5.915

Cell lengths 4.317, 5.622, 6.755 Å; angles 90.00, 90.00, 90.00 degrees
Fractional coordinates of all 8 atoms:
1 La 0.000 0.000 0.000
2 La 0.500 0.500 0.000
3 Si 0.000 0.500 0.319
4 Si 0.000 0.500 0.681
5 Si 0.500 0.000 0.319
6 Si 0.500 0.000 0.681
7 Pt 0.000 0.000 0.500
8 Pt 0.500 0.500 0.500

VASP calculation (PBE) on a relaxed MgH2 crystal.

Results
Raw total energy, eV/atom: -2.939

Cell lengths 4.783, 4.783, 4.783 Å; angles 90.00, 90.00, 90.00 degrees
Fractional coordinates of all 12 atoms:
1 Mg 0.000 0.000 0.000
2 Mg 0.000 0.500 0.500
3 Mg 0.500 0.000 0.500
4 Mg 0.500 0.500 0.000
5 H 0.153 0.653 0.847
6 H 0.153 0.847 0.347
7 H 0.347 0.153 0.847
8 H 0.347 0.347 0.347
9 H 0.653 0.653 0.653
10 H 0.653 0.847 0.153
11 H 0.847 0.153 0.653
12 H 0.847 0.347 0.153

VASP calculation (PBE) on a relaxed CrCoIN2 crystal.

Results
Formation energy without anion corrections, eV/atom: 0.86
Raw total energy, eV/atom: -6.126
Relative energy among the computed polymorphs, eV/f.u.: 0.00

Cell lengths 3.690, 3.690, 5.833 Å; angles 90.00, 90.00, 90.00 degrees
Fractional coordinates of all 5 atoms:
1 Cr 0.000 0.000 0.000
2 Co 0.500 0.500 0.500
3 I 0.000 0.000 0.500
4 N 0.000 0.500 0.000
5 N 0.500 0.000 0.000

VASP calculation (PBE) on a relaxed Be2SiSb crystal.

Results
Formation energy without anion corrections, eV/atom: 0.72
Raw total energy, eV/atom: -3.533
Relative energy among the computed polymorphs, eV/f.u.: 1.59

Cell lengths 4.090, 4.090, 3.625 Å; angles 90.00, 90.00, 90.00 degrees
Fractional coordinates of all 4 atoms:
1 Be 0.000 0.500 0.000
2 Be 0.500 0.000 0.000
3 Si 0.000 0.000 0.500
4 Sb 0.500 0.500 0.500

VASP calculation (PBE) on a relaxed TiZnMo2Se crystal.

Results
Formation energy without anion corrections, eV/atom: 1.24
Raw total energy, eV/atom: -5.623

Cell lengths 4.706, 4.706, 4.718 Å; angles 90.00, 90.00, 90.00 degrees
Fractional coordinates of all 5 atoms:
1 Ti 0.000 0.000 0.000
2 Zn 0.500 0.500 0.500
3 Mo 0.000 0.500 0.000
4 Mo 0.500 0.000 0.000
5 Se 0.000 0.000 0.500

VASP calculation (PBE) on a relaxed GaPt2Rh8 crystal.

Results
Raw total energy, eV/atom: -6.846
Calculated formation energy, eV/atom: -0.126

Cell lengths 7.225, 7.225, 6.108 Å; angles 104.67, 104.67, 31.11 degrees
Fractional coordinates of all 11 atoms:
1 Ga 0.000 0.000 0.000
2 Pt 0.274 0.274 0.361
3 Pt 0.726 0.726 0.639
4 Rh 0.089 0.089 0.452
5 Rh 0.180 0.180 0.911
6 Rh 0.365 0.365 0.820
7 Rh 0.456 0.456 0.272
8 Rh 0.544 0.544 0.728
9 Rh 0.635 0.635 0.180
10 Rh 0.820 0.820 0.089
11 Rh 0.911 0.911 0.548

VASP calculation (PBE) on a relaxed Mn2VCo2 crystal.

Results
Raw total energy, eV/atom: -8.227
Calculated formation energy, eV/atom: 0.107

Cell lengths 6.802, 6.802, 2.451 Å; angles 90.00, 90.00, 90.00 degrees
Fractional coordinates of all 10 atoms:
1 Mn 0.174 0.326 0.000
2 Mn 0.326 0.826 0.000
3 Mn 0.674 0.174 0.000
4 Mn 0.826 0.674 0.000
5 V 0.000 0.000 0.500
6 V 0.500 0.500 0.500
7 Co 0.123 0.623 0.500
8 Co 0.377 0.123 0.500
9 Co 0.623 0.877 0.500
10 Co 0.877 0.377 0.500

VASP calculation (PBE) on a relaxed Hf2Sc2Tl crystal.

Results
Raw total energy, eV/atom: -6.839
Relative energy among the computed polymorphs, eV/f.u.: 0.00
Calculated formation energy, eV/atom: 0.148

Cell lengths 7.624, 7.624, 4.149 Å; angles 90.00, 90.00, 90.00 degrees
Fractional coordinates of all 10 atoms:
1 Hf 0.137 0.363 0.000
2 Hf 0.363 0.863 0.000
3 Hf 0.637 0.137 0.000
4 Hf 0.863 0.637 0.000
5 Sc 0.154 0.654 0.500
6 Sc 0.346 0.154 0.500
7 Sc 0.654 0.846 0.500
8 Sc 0.846 0.346 0.500
9 Tl 0.000 0.000 0.000
10 Tl 0.500 0.500 0.000

Number 5 is which compound? LaSi2Pt

Copy entry 4 word for word.
VASP calculation (PBE) on a relaxed CsCdSO4 crystal.

Results
Formation energy without anion corrections, eV/atom: -1.43
Raw total energy, eV/atom: -5.104

Cell lengths 5.687, 5.364, 9.166 Å; angles 90.00, 92.48, 90.00 degrees
Fractional coordinates of all 14 atoms:
1 Cs 0.229 0.250 0.383
2 Cs 0.771 0.750 0.617
3 Cd 0.149 0.750 0.962
4 Cd 0.851 0.250 0.038
5 S 0.376 0.250 0.778
6 S 0.624 0.750 0.222
7 O 0.227 0.022 0.753
8 O 0.227 0.478 0.753
9 O 0.433 0.750 0.328
10 O 0.474 0.250 0.932
11 O 0.526 0.750 0.068
12 O 0.567 0.250 0.672
13 O 0.773 0.522 0.247
14 O 0.773 0.978 0.247

What is the raw total energy in the twelfth record? -6.839 eV/atom